The following is a DFT calculation (GGA-PBE) of a relaxed BeIn2Au crystal.

Geometry as CIF:
```
data_BeIn2Au
_space_group_name_H-M_alt 'P 1'
_space_group_IT_number 1
_space_group_name_Hall 'P 1'
_cell_length_a 4.455
_cell_length_b 4.455
_cell_length_c 5.883
_cell_angle_alpha 76.95
_cell_angle_beta 76.95
_cell_angle_gamma 45.61
loop_
_atom_site_label
_atom_site_type_symbol
_atom_site_fract_x
_atom_site_fract_y
_atom_site_fract_z
In1 In 0.008 0.008 0.975
In2 In 0.492 0.492 0.525
Be1 Be 0.750 0.750 0.750
Au1 Au 0.250 0.250 0.250
```

Summary:
- final energy (eV per atom) = -2.880
- crystal system = monoclinic
- magnetization (μB per atom) = 0.0000
- Fermi-level density of states (states/eV per atom) = 0.330